(1)
Here is BaAs at its PBEsol-relaxed geometry from Alexandria via LeMat-Bulk. Energies are from SCAN.

The space group is Immm (No. 71) and the conventional cell measures 4.834, 7.228 and 8.507 Å, with angles of 90.00, 90.00 and 90.00 degrees. Symmetry generates all atoms from Ba at (0.000, 0.000, 0.229) and As at (0.000, 0.329, 0.500).

The calculation puts the volume at 37.2 Å³ per atom. Its raw total energy is -2.28254 Ry per atom.

(2)
Here is TaZn2Ag at its PBEsol-relaxed geometry from Alexandria via LeMat-Bulk. Energies are from SCAN.

The space group is P4/mmm (No. 123) and the conventional cell measures 2.830, 2.830 and 7.638 Å, with angles of 90.00, 90.00 and 90.00 degrees. Symmetry generates all atoms from Ta at (0.000, 0.000, 0.000), Zn at (0.500, 0.500, 0.255) and Ag at (0.000, 0.000, 0.500).

The calculation puts the volume at 15.3 Å³ per atom. The calculation puts the energy above the most stable polymorph in this dataset at 0.00 eV per formula unit. Its raw total energy is -2.30017 Ry per atom.

(3)
Here is SrRhCl2 at its PBEsol-relaxed geometry from Alexandria via LeMat-Bulk. Energies are from SCAN.

The space group is I-4m2 (No. 119) and the conventional cell measures 3.884, 3.884 and 10.746 Å, with angles of 90.00, 90.00 and 90.00 degrees. Symmetry generates all atoms from Sr at (0.000, 0.000, 0.000), Rh at (0.000, 0.500, 0.750), Cl at (0.000, 0.000, 0.500) and Cl at (0.000, 0.500, 0.250).

The calculation puts the volume at 20.3 Å³ per atom. The calculation puts the energy above the most stable polymorph in this dataset at 0.00 eV per formula unit. Its raw total energy is -1.39773 Ry per atom.

(4)
Here is Li3HgF at its PBEsol-relaxed geometry from Alexandria via LeMat-Bulk. Energies are from SCAN.

The space group is Pm-3m (No. 221) and the conventional cell measures 4.083, 4.083 and 4.083 Å, with angles of 90.00, 90.00 and 90.00 degrees. Symmetry generates all atoms from Li at (0.000, 0.000, 0.500), Hg at (0.500, 0.500, 0.500) and F at (0.000, 0.000, 0.000).

The calculation puts the volume at 13.6 Å³ per atom. Its raw total energy is -1.26078 Ry per atom.

(5)
Here is MoAs2CBr at its PBEsol-relaxed geometry from Alexandria via LeMat-Bulk. Energies are from SCAN.

The space group is P4/mmm (No. 123) and the conventional cell measures 4.196, 4.196 and 4.492 Å, with angles of 90.00, 90.00 and 90.00 degrees. Symmetry generates all atoms from Mo at (0.000, 0.000, 0.000), As at (0.000, 0.500, 0.500), C at (0.500, 0.500, 0.500) and Br at (0.500, 0.500, 0.000).

The calculation puts the volume at 15.8 Å³ per atom. Its raw total energy is -1.43231 Ry per atom.

(6)
Here is ScBe3Re at its PBEsol-relaxed geometry from Alexandria via LeMat-Bulk. Energies are from SCAN.

The space group is Pm-3m (No. 221) and the conventional cell measures 4.202, 4.202 and 4.202 Å, with angles of 90.00, 90.00 and 90.00 degrees. Symmetry generates all atoms from Sc at (0.000, 0.000, 0.000), Be at (0.000, 0.500, 0.500) and Re at (0.500, 0.500, 0.500).

The calculation puts the volume at 14.8 Å³ per atom. Its raw total energy is -1.42221 Ry per atom.

(7)
Here is LaTcAg2 at its PBEsol-relaxed geometry from Alexandria via LeMat-Bulk. Energies are from SCAN.

The space group is Pmm2 (No. 25) and the conventional cell measures 2.863, 4.194 and 6.385 Å, with angles of 90.00, 90.00 and 90.00 degrees. Symmetry generates all atoms from La at (0.000, 0.000, 0.000), Tc at (0.500, 0.500, 0.257), Ag at (0.000, 0.000, 0.480) and Ag at (0.500, 0.500, 0.690).

The calculation puts the volume at 19.2 Å³ per atom. The calculation puts the energy above the most stable polymorph in this dataset at 0.39 eV per formula unit. Its raw total energy is -2.55983 Ry per atom.

(8)
Here is Cd3SeBr at its PBEsol-relaxed geometry from Alexandria via LeMat-Bulk. Energies are from SCAN.

The space group is Pm-3m (No. 221) and the conventional cell measures 5.403, 5.403 and 5.403 Å, with angles of 90.00, 90.00 and 90.00 degrees. Symmetry generates all atoms from Cd at (0.000, 0.000, 0.500), Se at (0.000, 0.000, 0.000) and Br at (0.500, 0.500, 0.500).

The calculation puts the volume at 31.6 Å³ per atom. Its raw total energy is -1.92397 Ry per atom.

(9)
Here is Te2CF at its PBEsol-relaxed geometry from Alexandria via LeMat-Bulk. Energies are from SCAN.

The space group is Fm-3m (No. 225) and the conventional cell measures 6.337, 6.337 and 6.337 Å, with angles of 90.00, 90.00 and 90.00 degrees. Symmetry generates all atoms from Te at (0.250, 0.250, 0.250), C at (0.000, 0.000, 0.000) and F at (0.000, 0.000, 0.500).

The calculation puts the volume at 15.9 Å³ per atom. Its raw total energy is -1.56032 Ry per atom.

(10)
Here is MgZn3In at its PBEsol-relaxed geometry from Alexandria via LeMat-Bulk. Energies are from SCAN.

The space group is Pm-3m (No. 221) and the conventional cell measures 5.066, 5.066 and 5.066 Å, with angles of 90.00, 90.00 and 90.00 degrees. Symmetry generates all atoms from Mg at (0.000, 0.000, 0.000), Zn at (0.000, 0.500, 0.500) and In at (0.500, 0.500, 0.500).

The calculation puts the volume at 26.0 Å³ per atom. Its raw total energy is -1.11810 Ry per atom.

(11)
Here is YZnSe4 at its PBEsol-relaxed geometry from Alexandria via LeMat-Bulk. Energies are from SCAN.

The space group is F-43m (No. 216) and the conventional cell measures 8.020, 8.020 and 8.020 Å, with angles of 90.00, 90.00 and 90.00 degrees. Symmetry generates all atoms from Y at (0.000, 0.000, 0.000), Zn at (0.250, 0.250, 0.750) and Se at (0.125, 0.125, 0.375).

The calculation puts the volume at 21.5 Å³ per atom. Its raw total energy is -1.49257 Ry per atom.

(12)
Here is LiZnCu2 at its PBEsol-relaxed geometry from Alexandria via LeMat-Bulk. Energies are from SCAN.

The space group is C2/m (No. 12) and the conventional cell measures 5.037, 8.020 and 2.499 Å, with angles of 90.00, 106.85 and 90.00 degrees. Symmetry generates all atoms from Li at (0.000, 0.000, 0.000), Zn at (0.000, 0.500, 0.000) and Cu at (0.250, 0.250, 0.500).

The calculation puts the volume at 12.1 Å³ per atom. Its raw total energy is -0.85618 Ry per atom.

(13)
Here is PbC2Br at its PBEsol-relaxed geometry from Alexandria via LeMat-Bulk. Energies are from SCAN.

The space group is I-42d (No. 122) and the conventional cell measures 4.907, 4.907 and 12.036 Å, with angles of 90.00, 90.00 and 90.00 degrees. Symmetry generates all atoms from Pb at (0.000, 0.000, 0.000), C at (0.229, 0.250, 0.625) and Br at (0.000, 0.000, 0.500).

The calculation puts the volume at 18.1 Å³ per atom. Its raw total energy is -1.94701 Ry per atom.

(14)
Here is Ta2NiPt at its PBEsol-relaxed geometry from Alexandria via LeMat-Bulk. Energies are from SCAN.

The space group is Cmmm (No. 65) and the conventional cell measures 5.460, 7.942 and 2.767 Å, with angles of 90.00, 90.00 and 90.00 degrees. Symmetry generates all atoms from Ta at (0.250, 0.250, 0.000), Ni at (0.000, 0.000, 0.500) and Pt at (0.000, 0.500, 0.500).

The calculation puts the volume at 15.0 Å³ per atom. Its raw total energy is -4.06931 Ry per atom.

(15)
Here is Li2TeAs2 at its PBEsol-relaxed geometry from Alexandria via LeMat-Bulk. Energies are from SCAN.

The space group is P4/mbm (No. 127) and the conventional cell measures 8.033, 8.033 and 2.961 Å, with angles of 90.00, 90.00 and 90.00 degrees. Symmetry generates all atoms from Li at (0.120, 0.380, 0.000), Te at (0.000, 0.000, 0.500) and As at (0.181, 0.681, 0.500).

The calculation puts the volume at 19.1 Å³ per atom. Its raw total energy is -1.23561 Ry per atom.

(16)
Here is TeP2Ir at its PBEsol-relaxed geometry from Alexandria via LeMat-Bulk. Energies are from SCAN.

The space group is P4/mmm (No. 123) and the conventional cell measures 4.588, 4.588 and 3.050 Å, with angles of 90.00, 90.00 and 90.00 degrees. Symmetry generates all atoms from Te at (0.000, 0.000, 0.000), P at (0.000, 0.500, 0.500) and Ir at (0.500, 0.500, 0.000).

The calculation puts the volume at 16.0 Å³ per atom. Its raw total energy is -2.31292 Ry per atom.

(17)
Here is BaCoAu2 at its PBEsol-relaxed geometry from Alexandria via LeMat-Bulk. Energies are from SCAN.

The space group is P4/mmm (No. 123) and the conventional cell measures 3.319, 3.319 and 7.418 Å, with angles of 90.00, 90.00 and 90.00 degrees. Symmetry generates all atoms from Ba at (0.000, 0.000, 0.000), Co at (0.000, 0.000, 0.500) and Au at (0.500, 0.500, 0.318).

The calculation puts the volume at 20.4 Å³ per atom. The calculation puts the energy above the most stable polymorph in this dataset at 1.36 eV per formula unit. Its raw total energy is -3.59161 Ry per atom.

(18)
Here is ZnOsPb2 at its PBEsol-relaxed geometry from Alexandria via LeMat-Bulk. Energies are from SCAN.

The space group is C2/m (No. 12) and the conventional cell measures 9.304, 3.333 and 5.232 Å, with angles of 90.00, 98.31 and 90.00 degrees. Symmetry generates all atoms from Zn at (0.000, 0.000, 0.000), Os at (0.000, 0.500, 0.500) and Pb at (0.236, 0.000, 0.739).

The calculation puts the volume at 20.1 Å³ per atom. Its raw total energy is -4.29245 Ry per atom.

(19)
Here is Te7Ru at its PBEsol-relaxed geometry from Alexandria via LeMat-Bulk. Energies are from SCAN.

The space group is Fm-3m (No. 225) and the conventional cell measures 9.227, 9.227 and 9.227 Å, with angles of 90.00, 90.00 and 90.00 degrees. Symmetry generates all atoms from Te at (0.000, 0.000, 0.000), Te at (0.000, 0.250, 0.250) and Ru at (0.000, 0.000, 0.500).

The calculation puts the volume at 24.6 Å³ per atom. Its raw total energy is -2.66199 Ry per atom.

(20)
Here is Tc at its PBEsol-relaxed geometry from Alexandria via LeMat-Bulk. Energies are from SCAN.

The space group is P6_3/mmc (No. 194) and the conventional cell measures 2.7197, 2.7197 and 4.3559 Å, with angles of 90.00, 90.00 and 120.00 degrees. Symmetry generates all atoms from Tc at (0.3333, 0.6667, 0.2500).

The calculation puts the volume at 14.0 Å³ per atom. The calculation puts the energy above the most stable polymorph in this dataset at 0.00 eV per formula unit. Its raw total energy is -2.57686 Ry per atom.

(21)
Here is MnTl2ZnMo at its PBEsol-relaxed geometry from Alexandria via LeMat-Bulk. Energies are from SCAN.

The space group is P4/mmm (No. 123) and the conventional cell measures 5.066, 5.066 and 4.302 Å, with angles of 90.00, 90.00 and 90.00 degrees. Symmetry generates all atoms from Mn at (0.000, 0.000, 0.000), Tl at (0.000, 0.500, 0.000), Zn at (0.500, 0.500, 0.500) and Mo at (0.000, 0.000, 0.500).

The calculation puts the volume at 22.1 Å³ per atom. Its raw total energy is -3.03891 Ry per atom.

(22)
Here is Si2TcAu at its PBEsol-relaxed geometry from Alexandria via LeMat-Bulk. Energies are from SCAN.

The space group is I-42d (No. 122) and the conventional cell measures 5.639, 5.639 and 10.101 Å, with angles of 90.00, 90.00 and 90.00 degrees. Symmetry generates all atoms from Si at (0.234, 0.250, 0.125), Tc at (0.000, 0.000, 0.000) and Au at (0.000, 0.000, 0.500).

The calculation puts the volume at 20.1 Å³ per atom. Its raw total energy is -2.25324 Ry per atom.

(23)
Here is BaCa2Sc at its PBEsol-relaxed geometry from Alexandria via LeMat-Bulk. Energies are from SCAN.

The space group is C2/m (No. 12) and the conventional cell measures 7.271, 12.101 and 3.608 Å, with angles of 90.00, 110.42 and 90.00 degrees. Symmetry generates all atoms from Ba at (0.000, 0.000, 0.000), Ca at (0.250, 0.250, 0.500) and Sc at (0.000, 0.500, 0.000).

The calculation puts the volume at 37.2 Å³ per atom. The calculation puts the energy above the most stable polymorph in this dataset at 0.04 eV per formula unit. Its raw total energy is -1.32197 Ry per atom.

(24)
Here is RbB3Se at its PBEsol-relaxed geometry from Alexandria via LeMat-Bulk. Energies are from SCAN.

The space group is Pm-3m (No. 221) and the conventional cell measures 4.904, 4.904 and 4.904 Å, with angles of 90.00, 90.00 and 90.00 degrees. Symmetry generates all atoms from Rb at (0.000, 0.000, 0.000), B at (0.000, 0.000, 0.500) and Se at (0.500, 0.500, 0.500).

The calculation puts the volume at 23.6 Å³ per atom. Its raw total energy is -0.67636 Ry per atom.

(25)
Here is BOsSN2 at its PBEsol-relaxed geometry from Alexandria via LeMat-Bulk. Energies are from SCAN.

The space group is P4/mmm (No. 123) and the conventional cell measures 3.435, 3.435 and 3.966 Å, with angles of 90.00, 90.00 and 90.00 degrees. Symmetry generates all atoms from B at (0.000, 0.000, 0.000), Os at (0.500, 0.500, 0.500), S at (0.000, 0.000, 0.500) and N at (0.000, 0.500, 0.000).

The calculation puts the volume at 9.4 Å³ per atom. Its raw total energy is -1.45173 Ry per atom.

(26)
Here is Zr2TlAs at its PBEsol-relaxed geometry from Alexandria via LeMat-Bulk. Energies are from SCAN.

The space group is Cmmm (No. 65) and the conventional cell measures 6.146, 7.497 and 3.513 Å, with angles of 90.00, 90.00 and 90.00 degrees. Symmetry generates all atoms from Zr at (0.250, 0.250, 0.000), Tl at (0.000, 0.000, 0.500) and As at (0.000, 0.500, 0.500).

The calculation puts the volume at 20.2 Å³ per atom. The calculation puts the energy above the most stable polymorph in this dataset at 0.00 eV per formula unit. Its raw total energy is -2.86146 Ry per atom.

(27)
Here is YTeF3 at its PBEsol-relaxed geometry from Alexandria via LeMat-Bulk. Energies are from SCAN.

The space group is Pm-3m (No. 221) and the conventional cell measures 4.658, 4.658 and 4.658 Å, with angles of 90.00, 90.00 and 90.00 degrees. Symmetry generates all atoms from Y at (0.000, 0.000, 0.000), Te at (0.500, 0.500, 0.500) and F at (0.000, 0.500, 0.500).

The calculation puts the volume at 20.2 Å³ per atom. Its raw total energy is -1.19547 Ry per atom.

(28)
Here is In2Hg at its PBEsol-relaxed geometry from Alexandria via LeMat-Bulk. Energies are from SCAN.

The space group is Fm-3m (No. 225) and the conventional cell measures 6.834, 6.834 and 6.834 Å, with angles of 90.00, 90.00 and 90.00 degrees. Symmetry generates all atoms from In at (0.250, 0.250, 0.250) and Hg at (0.000, 0.000, 0.000).

The calculation puts the volume at 26.6 Å³ per atom. The calculation puts the energy above the most stable polymorph in this dataset at 0.00 eV per formula unit. Its raw total energy is -3.30615 Ry per atom.

(29)
Here is BaB3S at its PBEsol-relaxed geometry from Alexandria via LeMat-Bulk. Energies are from SCAN.

The space group is Pm-3m (No. 221) and the conventional cell measures 5.046, 5.046 and 5.046 Å, with angles of 90.00, 90.00 and 90.00 degrees. Symmetry generates all atoms from Ba at (0.000, 0.000, 0.000), B at (0.000, 0.000, 0.500) and S at (0.500, 0.500, 0.500).

The calculation puts the volume at 25.7 Å³ per atom. Its raw total energy is -0.82303 Ry per atom.